## CrNiPOs2 (PBE-GGA)

Data for a relaxed structure of CrNiPOs2.

POSCAR file:
```
CrNiPOs2
1.0
4.4385 0.0000 0.0000
0.0000 4.4385 0.0000
0.0000 0.0000 4.2351
Ni Os P Cr
1 2 1 1
Cartesian
0.0000 0.0000 2.1175
0.0000 2.2192 0.0000
2.2192 0.0000 0.0000
2.2192 2.2192 2.1175
0.0000 0.0000 0.0000
```

Output
spin magnetization = 0.000 μB per atom
energy of formation = 1.703 eV/atom
N(E_F) = 6.52 states/eV per cell

---

## PmAlGaAu (PBE-GGA)

Data for a relaxed structure of PmAlGaAu.

POSCAR file:
```
PmAlGaAu
1.0
-3.4528 -2.8735 -1.9837
0.9463 -4.7418 -0.8566
-2.1689 -3.4667 2.7188
Au Al Ga Pm
1 1 1 1
Cartesian
-1.1688 -2.7705 -0.0304
-2.3377 -5.5410 -0.0607
-3.5065 -8.3115 -0.0911
0.0000 0.0000 0.0000
```

Output
spin magnetization = 0.000 μB per atom
energy of formation = -0.516 eV/atom
N(E_F) = 0.80 states/eV per cell

---

## Er2PdAu2 (PBE-GGA)

Data for a relaxed structure of Er2PdAu2.

POSCAR file:
```
Er2PdAu2
1.0
-2.9576 1.2770 1.5748
-1.9147 -3.3139 -0.9087
4.4458 -6.2472 13.4151
Er Pd Au
4 2 4
Cartesian
-1.9549 -1.7098 1.7975
1.5283 -6.5743 12.2838
0.2532 -1.8104 6.0260
-0.6798 -6.4737 8.0553
1.2655 -4.7806 6.2532
0.0000 0.0000 0.0000
0.4309 -3.6230 3.7471
2.1001 -5.9382 8.7594
0.8249 -1.1744 2.5015
1.7061 -8.3867 10.0049
```

Output
spin magnetization = 0.000 μB per atom
excess energy over the best structure of this formula in the dataset = 0.0000 eV/atom
energy of formation = -0.822 eV/atom
N(E_F) = 2.90 states/eV per cell